a:
Here is an optimized crystal structure of Ca3CoBi from the Alexandria database. Energies are from GGA-PBE.

```
Ca3CoBi
1.0
5.956 0.000 0.000
0.000 5.956 0.000
0.000 0.000 5.956
Ca Bi Co
3 1 1
Direct
0.000 0.000 0.500
0.500 0.000 0.000
0.000 0.500 0.000
0.000 0.000 0.000
0.500 0.500 0.500
```

As for the symmetry: Pm-3m (221).


b:
Here is an optimized crystal structure of Ca3CoBi from the Alexandria database. Energies are from GGA-PBE.

```
Ca3CoBi
1.0
-1.666 -4.556 2.041
0.539 -2.303 -4.702
4.964 -1.280 1.195
Ca Co Bi
3 1 1
Direct
0.000 0.000 0.500
0.000 0.500 0.000
0.500 0.000 0.000
0.000 0.000 0.000
0.500 0.500 0.500
```

As for the symmetry: Pm-3m (221).


The relative energies come out as a 61.2; b 0.0, with values in kJ/mol of atoms.